1.
DFT (PBE) results for TeIrN2F after structural relaxation.

* formation energy from raw total energies: 1.59 eV/atom
* energy above the lowest structure with this stoichiometry: 5.62 eV per formula unit

Geometry as CIF:
```
data_TeIrN2F
_chemical_formula_sum 'Te1 Ir1 N2 F1'
_cell_length_a 4.149
_cell_length_b 4.149
_cell_length_c 4.010
_cell_angle_alpha 90.00
_cell_angle_beta 90.00
_cell_angle_gamma 90.00
_symmetry_space_group_name_H-M 'P 4/m m m'
_symmetry_Int_Tables_number 123
_symmetry_space_group_name_Hall '-P 4 2'
loop_
_atom_site_label
_atom_site_type_symbol
_atom_site_fract_x
_atom_site_fract_y
_atom_site_fract_z
_atom_site_occupancy
Te1 Te 0.000 0.000 0.000 1
Ir1 Ir 0.500 0.500 0.500 1
N1 N 0.000 0.500 0.000 1
F1 F 0.000 0.000 0.500 1
```


2.
DFT (PBE) results for Pu5As3O after structural relaxation.

* formation energy from raw total energies: -1.25 eV/atom

Geometry as CIF:
```
data_Pu5As3O
_chemical_formula_sum 'Pu20 As12 O4'
_cell_length_a 7.832
_cell_length_b 7.832
_cell_length_c 13.318
_cell_angle_alpha 90.00
_cell_angle_beta 90.00
_cell_angle_gamma 90.00
_symmetry_space_group_name_H-M 'I 4/m c m'
_symmetry_Int_Tables_number 140
_symmetry_space_group_name_Hall '-I 4 2c'
loop_
_atom_site_label
_atom_site_type_symbol
_atom_site_fract_x
_atom_site_fract_y
_atom_site_fract_z
_atom_site_occupancy
Pu1 Pu 0.000 0.000 0.000 1
Pu2 Pu 0.163 0.337 0.147 1
As1 As 0.000 0.000 0.250 1
As2 As 0.140 0.360 0.500 1
O1 O 0.000 0.500 0.250 1
```


3.
DFT (PBE) results for CaSnP3 after structural relaxation.

* formation enthalpy at 0 K: 419 meV per atom
* energy above the lowest structure with this stoichiometry: 0.00 eV per formula unit

Geometry as CIF:
```
data_CaSnP3
_chemical_formula_sum 'Ca1 Sn1 P3'
_cell_length_a 5.063
_cell_length_b 5.063
_cell_length_c 5.063
_cell_angle_alpha 90.00
_cell_angle_beta 90.00
_cell_angle_gamma 90.00
_symmetry_space_group_name_H-M 'P m -3 m'
_symmetry_Int_Tables_number 221
_symmetry_space_group_name_Hall '-P 4 2 3'
loop_
_atom_site_label
_atom_site_type_symbol
_atom_site_fract_x
_atom_site_fract_y
_atom_site_fract_z
_atom_site_occupancy
Ca1 Ca 0.000 0.000 0.000 1
Sn1 Sn 0.500 0.500 0.500 1
P1 P 0.000 0.500 0.500 1
```


4.
DFT (PBE) results for SnMo3W after structural relaxation.

* formation enthalpy at 0 K: 2558 meV per atom
* energy above the lowest structure with this stoichiometry: 4.76 eV per formula unit

Geometry as CIF:
```
data_SnMo3W
_chemical_formula_sum 'Sn1 Mo3 W1'
_cell_length_a 4.777
_cell_length_b 4.777
_cell_length_c 4.777
_cell_angle_alpha 90.00
_cell_angle_beta 90.00
_cell_angle_gamma 90.00
_symmetry_space_group_name_H-M 'P m -3 m'
_symmetry_Int_Tables_number 221
_symmetry_space_group_name_Hall '-P 4 2 3'
loop_
_atom_site_label
_atom_site_type_symbol
_atom_site_fract_x
_atom_site_fract_y
_atom_site_fract_z
_atom_site_occupancy
Sn1 Sn 0.000 0.000 0.000 1
Mo1 Mo 0.000 0.000 0.500 1
W1 W 0.500 0.500 0.500 1
```


5.
DFT (PBE) results for RbVTe4 after structural relaxation.

* formation energy from raw total energies: -0.35 eV/atom
* energy above the lowest structure with this stoichiometry: 0.10 eV per formula unit

Geometry as CIF:
```
data_RbVTe4
_chemical_formula_sum 'Rb4 V4 Te16'
_cell_length_a 9.887
_cell_length_b 15.827
_cell_length_c 5.681
_cell_angle_alpha 90.00
_cell_angle_beta 106.25
_cell_angle_gamma 90.00
_symmetry_space_group_name_H-M 'C 1 2/c 1'
_symmetry_Int_Tables_number 15
loop_
_symmetry_equiv_pos_as_xyz
'x,y,z'
'-x,-y,-z'
'-x,y,-z+1/2'
'x,-y,z+1/2'
'x+1/2,y+1/2,z'
'-x+1/2,-y+1/2,-z'
'-x+1/2,y+1/2,-z+1/2'
'x+1/2,-y+1/2,z+1/2'
loop_
_atom_site_label
_atom_site_type_symbol
_atom_site_fract_x
_atom_site_fract_y
_atom_site_fract_z
_atom_site_occupancy
Rb1 Rb 0.000 0.139 0.250 1
V1 V 0.000 0.499 0.750 1
Te1 Te 0.096 0.359 0.548 1
Te2 Te 0.235 0.441 0.119 1
```


6.
DFT (PBE) results for Cs6Au2I2Br after structural relaxation.

* formation energy from raw total energies: -0.99 eV/atom

Geometry as CIF:
```
data_Cs6Au2I2Br
_chemical_formula_sum 'Cs12 Au4 I4 Br2'
_cell_length_a 9.340
_cell_length_b 16.023
_cell_length_c 9.358
_cell_angle_alpha 90.00
_cell_angle_beta 109.42
_cell_angle_gamma 90.00
_symmetry_space_group_name_H-M 'C 1 2/m 1'
_symmetry_Int_Tables_number 12
loop_
_symmetry_equiv_pos_as_xyz
'x,y,z'
'-x,-y,-z'
'-x,y,-z'
'x,-y,z'
'x+1/2,y+1/2,z'
'-x+1/2,-y+1/2,-z'
'-x+1/2,y+1/2,-z'
'x+1/2,-y+1/2,z'
loop_
_atom_site_label
_atom_site_type_symbol
_atom_site_fract_x
_atom_site_fract_y
_atom_site_fract_z
_atom_site_occupancy
Cs1 Cs 0.242 0.168 0.233 1
Cs2 Cs 0.247 0.500 0.231 1
Au1 Au 0.000 0.334 0.000 1
I1 I 0.000 0.166 0.500 1
Br1 Br 0.000 0.000 0.000 1
```


7.
DFT (PBE) results for Li8ErBi6 after structural relaxation.

* formation enthalpy at 0 K: -380 meV per atom

Geometry as CIF:
```
data_Li8ErBi6
_chemical_formula_sum 'Li24 Er3 Bi18'
_cell_length_a 8.8104
_cell_length_b 8.8104
_cell_length_c 17.6274
_cell_angle_alpha 90.00
_cell_angle_beta 90.00
_cell_angle_gamma 120.00
_symmetry_space_group_name_H-M 'R -3'
_symmetry_Int_Tables_number 148
_symmetry_space_group_name_Hall '-R 3'
loop_
_atom_site_label
_atom_site_type_symbol
_atom_site_fract_x
_atom_site_fract_y
_atom_site_fract_z
_atom_site_occupancy
Li1 Li 0.0000 0.0000 0.1874 1
Li2 Li 0.0058 0.2710 0.4201 1
Er1 Er 0.0000 0.0000 0.0000 1
Bi1 Bi 0.0074 0.3955 0.5766 1
```


8.
DFT (PBE) results for GaB2Pt after structural relaxation.

* formation enthalpy at 0 K: 422 meV per atom

Geometry as CIF:
```
data_GaB2Pt
_chemical_formula_sum 'Ga4 B8 Pt4'
_cell_length_a 5.017
_cell_length_b 5.017
_cell_length_c 9.353
_cell_angle_alpha 90.00
_cell_angle_beta 90.00
_cell_angle_gamma 90.00
_symmetry_space_group_name_H-M 'I -4 2 d'
_symmetry_Int_Tables_number 122
_symmetry_space_group_name_Hall 'I -4 2bw'
loop_
_atom_site_label
_atom_site_type_symbol
_atom_site_fract_x
_atom_site_fract_y
_atom_site_fract_z
_atom_site_occupancy
Ga1 Ga 0.000 0.000 0.000 1
B1 B 0.221 0.250 0.625 1
Pt1 Pt 0.000 0.000 0.500 1
```


9.
DFT (PBE) results for LiPu2Ni after structural relaxation.

* formation enthalpy at 0 K: 126 meV per atom
* energy above the lowest structure with this stoichiometry: 0.00 eV per formula unit

Geometry as CIF:
```
data_LiPu2Ni
_chemical_formula_sum 'Li1 Pu2 Ni1'
_cell_length_a 3.187
_cell_length_b 3.187
_cell_length_c 8.645
_cell_angle_alpha 90.00
_cell_angle_beta 90.00
_cell_angle_gamma 90.00
_symmetry_space_group_name_H-M 'P 4/m m m'
_symmetry_Int_Tables_number 123
_symmetry_space_group_name_Hall '-P 4 2'
loop_
_atom_site_label
_atom_site_type_symbol
_atom_site_fract_x
_atom_site_fract_y
_atom_site_fract_z
_atom_site_occupancy
Li1 Li 0.000 0.000 0.000 1
Pu1 Pu 0.500 0.500 0.298 1
Ni1 Ni 0.000 0.000 0.500 1
```


10.
DFT (PBE) results for Sr2Sn3Pd4Pt after structural relaxation.

* formation enthalpy at 0 K: -654 meV per atom

Geometry as CIF:
```
data_Sr2Sn3Pd4Pt
_chemical_formula_sum 'Sr2 Sn3 Pd4 Pt1'
_cell_length_a 4.442
_cell_length_b 4.442
_cell_length_c 11.518
_cell_angle_alpha 90.00
_cell_angle_beta 90.00
_cell_angle_gamma 90.00
_symmetry_space_group_name_H-M 'P -4 m 2'
_symmetry_Int_Tables_number 115
loop_
_symmetry_equiv_pos_as_xyz
'x,y,z'
'y,-x,-z'
'-x,-y,z'
'-y,x,-z'
'-x,y,z'
'-y,-x,-z'
'x,-y,z'
'y,x,-z'
loop_
_atom_site_label
_atom_site_type_symbol
_atom_site_fract_x
_atom_site_fract_y
_atom_site_fract_z
_atom_site_occupancy
Sr1 Sr 0.000 0.500 0.235 1
Sn1 Sn 0.000 0.000 0.000 1
Sn2 Sn 0.000 0.500 0.629 1
Pd1 Pd 0.000 0.000 0.500 1
Pd2 Pd 0.000 0.500 0.859 1
Pd3 Pd 0.500 0.500 0.500 1
Pt1 Pt 0.500 0.500 0.000 1
```


11.
DFT (PBE) results for Pm3Pr2Tm7 after structural relaxation.

* formation enthalpy at 0 K: 91 meV per atom
* energy above the lowest structure with this stoichiometry: 0.00 eV per formula unit

Geometry as CIF:
```
data_Pm3Pr2Tm7
_chemical_formula_sum 'Pm3 Pr2 Tm7'
_cell_length_a 5.794
_cell_length_b 3.574
_cell_length_c 18.837
_cell_angle_alpha 90.00
_cell_angle_beta 93.24
_cell_angle_gamma 90.00
_symmetry_space_group_name_H-M 'P 1 2/m 1'
_symmetry_Int_Tables_number 10
loop_
_symmetry_equiv_pos_as_xyz
'x,y,z'
'-x,-y,-z'
'-x,y,-z'
'x,-y,z'
loop_
_atom_site_label
_atom_site_type_symbol
_atom_site_fract_x
_atom_site_fract_y
_atom_site_fract_z
_atom_site_occupancy
Pm1 Pm 0.000 0.000 0.000 1
Pm2 Pm 0.275 0.500 0.630 1
Pr1 Pr 0.210 0.000 0.291 1
Tm1 Tm 0.190 0.500 0.141 1
Tm2 Tm 0.242 0.000 0.461 1
Tm3 Tm 0.308 0.000 0.830 1
Tm4 Tm 0.500 0.500 0.000 1
```


12.
DFT (PBE) results for DyScPd3 after structural relaxation.

* formation enthalpy at 0 K: -856 meV per atom

Geometry as CIF:
```
data_DyScPd3
_chemical_formula_sum 'Dy4 Sc4 Pd12'
_cell_length_a 9.667
_cell_length_b 5.579
_cell_length_c 7.117
_cell_angle_alpha 90.00
_cell_angle_beta 93.55
_cell_angle_gamma 90.00
_symmetry_space_group_name_H-M 'P 1 21/c 1'
_symmetry_Int_Tables_number 14
loop_
_symmetry_equiv_pos_as_xyz
'x,y,z'
'-x,-y,-z'
'-x,y+1/2,-z+1/2'
'x,-y+1/2,z+1/2'
loop_
_atom_site_label
_atom_site_type_symbol
_atom_site_fract_x
_atom_site_fract_y
_atom_site_fract_z
_atom_site_occupancy
Dy1 Dy 0.120 0.135 0.194 1
Sc1 Sc 0.435 0.643 0.676 1
Pd1 Pd 0.109 0.649 0.046 1
Pd2 Pd 0.277 0.548 0.365 1
Pd3 Pd 0.368 0.107 0.510 1
```


13.
DFT (PBE) results for ZnHg4Ir after structural relaxation.

* formation enthalpy at 0 K: 757 meV per atom

Geometry as CIF:
```
data_ZnHg4Ir
_chemical_formula_sum 'Zn4 Hg16 Ir4'
_cell_length_a 8.006
_cell_length_b 8.006
_cell_length_c 8.006
_cell_angle_alpha 90.00
_cell_angle_beta 90.00
_cell_angle_gamma 90.00
_symmetry_space_group_name_H-M 'F -4 3 m'
_symmetry_Int_Tables_number 216
_symmetry_space_group_name_Hall 'F -4 2 3'
loop_
_atom_site_label
_atom_site_type_symbol
_atom_site_fract_x
_atom_site_fract_y
_atom_site_fract_z
_atom_site_occupancy
Zn1 Zn 0.000 0.000 0.000 1
Hg1 Hg 0.125 0.125 0.625 1
Ir1 Ir 0.250 0.250 0.250 1
```


14.
DFT (PBE) results for SrH9ClO5 after structural relaxation.

* E: -79.69 eV/f.u.

Geometry as CIF:
```
data_SrH9ClO5
_chemical_formula_sum 'Sr2 H18 Cl2 O10'
_cell_length_a 5.973
_cell_length_b 7.422
_cell_length_c 7.735
_cell_angle_alpha 90.67
_cell_angle_beta 107.94
_cell_angle_gamma 90.12
_symmetry_space_group_name_H-M 'P -1'
_symmetry_Int_Tables_number 2
loop_
_symmetry_equiv_pos_as_xyz
'x,y,z'
'-x,-y,-z'
loop_
_atom_site_label
_atom_site_type_symbol
_atom_site_fract_x
_atom_site_fract_y
_atom_site_fract_z
_atom_site_occupancy
Sr1 Sr 0.174 0.051 0.285 1
H1 H 0.107 0.305 0.797 1
H2 H 0.122 0.709 0.516 1
H3 H 0.159 0.709 0.043 1
H4 H 0.301 0.192 0.949 1
H5 H 0.301 0.821 0.675 1
H6 H 0.320 0.814 0.947 1
H7 H 0.358 0.182 0.685 1
H8 H 0.441 0.330 0.173 1
H9 H 0.466 0.708 0.391 1
Cl1 Cl 0.172 0.504 0.284 1
O1 O 0.149 0.831 0.568 1
O2 O 0.181 0.829 0.996 1
O3 O 0.191 0.188 0.816 1
O4 O 0.455 0.174 0.599 1
O5 O 0.471 0.203 0.149 1
```


15.
DFT (PBE) results for NaHf2Pd after structural relaxation.

* formation enthalpy at 0 K: 506 meV per atom
* energy above the lowest structure with this stoichiometry: 1.11 eV per formula unit

Geometry as CIF:
```
data_NaHf2Pd
_chemical_formula_sum 'Na4 Hf8 Pd4'
_cell_length_a 4.139
_cell_length_b 4.139
_cell_length_c 20.122
_cell_angle_alpha 90.00
_cell_angle_beta 90.00
_cell_angle_gamma 90.00
_symmetry_space_group_name_H-M 'I -4 2 d'
_symmetry_Int_Tables_number 122
_symmetry_space_group_name_Hall 'I -4 2bw'
loop_
_atom_site_label
_atom_site_type_symbol
_atom_site_fract_x
_atom_site_fract_y
_atom_site_fract_z
_atom_site_occupancy
Na1 Na 0.000 0.000 0.000 1
Hf1 Hf 0.237 0.250 0.625 1
Pd1 Pd 0.000 0.000 0.500 1
```


16.
DFT (PBE) results for Sc2MoP after structural relaxation.

* formation enthalpy at 0 K: -126 meV per atom

Geometry as CIF:
```
data_Sc2MoP
_chemical_formula_sum 'Sc8 Mo4 P4'
_cell_length_a 6.400
_cell_length_b 6.400
_cell_length_c 6.400
_cell_angle_alpha 90.00
_cell_angle_beta 90.00
_cell_angle_gamma 90.00
_symmetry_space_group_name_H-M 'F -4 3 m'
_symmetry_Int_Tables_number 216
_symmetry_space_group_name_Hall 'F -4 2 3'
loop_
_atom_site_label
_atom_site_type_symbol
_atom_site_fract_x
_atom_site_fract_y
_atom_site_fract_z
_atom_site_occupancy
Sc1 Sc 0.000 0.000 0.000 1
Sc2 Sc 0.250 0.250 0.250 1
Mo1 Mo 0.000 0.000 0.500 1
P1 P 0.250 0.250 0.750 1
```


17.
DFT (PBE) results for Sm4Tm6Zr after structural relaxation.

* formation enthalpy at 0 K: 143 meV per atom

Geometry as CIF:
```
data_Sm4Tm6Zr
_chemical_formula_sum 'Sm8 Tm12 Zr2'
_cell_length_a 8.634
_cell_length_b 8.634
_cell_length_c 9.028
_cell_angle_alpha 90.00
_cell_angle_beta 90.00
_cell_angle_gamma 90.00
_symmetry_space_group_name_H-M 'P 4/m n c'
_symmetry_Int_Tables_number 128
_symmetry_space_group_name_Hall '-P 4 2n'
loop_
_atom_site_label
_atom_site_type_symbol
_atom_site_fract_x
_atom_site_fract_y
_atom_site_fract_z
_atom_site_occupancy
Sm1 Sm 0.145 0.355 0.250 1
Tm1 Tm 0.000 0.000 0.174 1
Tm2 Tm 0.153 0.656 0.500 1
Zr1 Zr 0.000 0.000 0.500 1
```


18.
DFT (PBE) results for Tl3ICl after structural relaxation.

* formation energy from raw total energies: -0.39 eV/atom
* energy above the lowest structure with this stoichiometry: 0.00 eV per formula unit

Geometry as CIF:
```
data_Tl3ICl
_chemical_formula_sum 'Tl3 I1 Cl1'
_cell_length_a 5.985
_cell_length_b 5.985
_cell_length_c 5.985
_cell_angle_alpha 90.00
_cell_angle_beta 90.00
_cell_angle_gamma 90.00
_symmetry_space_group_name_H-M 'P m -3 m'
_symmetry_Int_Tables_number 221
_symmetry_space_group_name_Hall '-P 4 2 3'
loop_
_atom_site_label
_atom_site_type_symbol
_atom_site_fract_x
_atom_site_fract_y
_atom_site_fract_z
_atom_site_occupancy
Tl1 Tl 0.000 0.000 0.500 1
I1 I 0.500 0.500 0.500 1
Cl1 Cl 0.000 0.000 0.000 1
```


19.
DFT (PBE) results for Sc6InNi2 after structural relaxation.

* formation enthalpy at 0 K: -380 meV per atom

Geometry as CIF:
```
data_Sc6InNi2
_chemical_formula_sum 'Sc24 In4 Ni8'
_cell_length_a 8.824
_cell_length_b 8.971
_cell_length_c 9.407
_cell_angle_alpha 90.00
_cell_angle_beta 90.00
_cell_angle_gamma 90.00
_symmetry_space_group_name_H-M 'I m m m'
_symmetry_Int_Tables_number 71
_symmetry_space_group_name_Hall '-I 2 2'
loop_
_atom_site_label
_atom_site_type_symbol
_atom_site_fract_x
_atom_site_fract_y
_atom_site_fract_z
_atom_site_occupancy
Sc1 Sc 0.000 0.212 0.235 1
Sc2 Sc 0.202 0.500 0.177 1
Sc3 Sc 0.210 0.313 0.500 1
In1 In 0.000 0.000 0.000 1
In2 In 0.000 0.000 0.500 1
Ni1 Ni 0.000 0.355 0.000 1
Ni2 Ni 0.000 0.500 0.372 1
```


20.
DFT (PBE) results for NpIn2Ag after structural relaxation.

* formation enthalpy at 0 K: 179 meV per atom

Geometry as CIF:
```
data_NpIn2Ag
_chemical_formula_sum 'Np1 In2 Ag1'
_cell_length_a 4.564
_cell_length_b 4.564
_cell_length_c 4.650
_cell_angle_alpha 90.00
_cell_angle_beta 90.00
_cell_angle_gamma 90.00
_symmetry_space_group_name_H-M 'P 4/m m m'
_symmetry_Int_Tables_number 123
_symmetry_space_group_name_Hall '-P 4 2'
loop_
_atom_site_label
_atom_site_type_symbol
_atom_site_fract_x
_atom_site_fract_y
_atom_site_fract_z
_atom_site_occupancy
Np1 Np 0.000 0.000 0.000 1
In1 In 0.000 0.500 0.500 1
Ag1 Ag 0.500 0.500 0.000 1
```